*a*
Material: Nd5Sn2Pb2
Method: DFT, GGA-PBE
State: optimized geometry

## Properties
symmetry = Ima2, No. 46
density of states at the Fermi level = 8.26 states/eV/f.u.

```
Nd5Sn2Pb2
1.0
-8.737 4.182 4.102
8.737 -4.182 4.102
8.737 4.182 -4.102
Nd Sn Pb
10 4 4
direct
0.149 0.050 0.599 Nd
0.182 0.061 0.243 Nd
0.182 0.439 0.621 Nd
0.451 0.550 0.401 Nd
0.465 0.799 0.981 Nd
0.465 0.984 0.166 Nd
0.818 0.561 0.379 Nd
0.818 0.939 0.757 Nd
0.819 0.299 0.834 Nd
0.819 0.484 0.019 Nd
0.279 0.401 0.044 Sn
0.279 0.735 0.378 Sn
0.356 0.235 0.956 Sn
0.356 0.901 0.622 Sn
0.683 0.183 0.500 Pb
0.683 0.683 0.000 Pb
0.941 0.198 0.243 Pb
0.955 0.698 0.757 Pb
```

---

*b*
Material: Nd5Sn2Pb2
Method: DFT, GGA-PBE
State: optimized geometry

## Properties
symmetry = Cmce, No. 64
density of states at the Fermi level = 6.76 states/eV/f.u.

```
Nd5Sn2Pb2
1.0
8.067 -4.226 0.000
8.067 4.226 0.000
0.000 0.000 8.462
Nd Sn Pb
10 4 4
direct
0.000 0.000 0.000 Nd
0.038 0.690 0.671 Nd
0.190 0.538 0.171 Nd
0.310 0.962 0.671 Nd
0.462 0.810 0.171 Nd
0.500 0.500 0.500 Nd
0.538 0.190 0.829 Nd
0.690 0.038 0.329 Nd
0.810 0.462 0.829 Nd
0.962 0.310 0.329 Nd
0.128 0.872 0.371 Sn
0.372 0.628 0.871 Sn
0.628 0.372 0.129 Sn
0.872 0.128 0.629 Sn
0.208 0.208 0.000 Pb
0.292 0.292 0.500 Pb
0.708 0.708 0.500 Pb
0.792 0.792 0.000 Pb
```

---

Least stable of them? *a*.

---

*a*
Material: NdSnPb
Method: DFT, GGA-PBE
State: optimized geometry

## Properties
symmetry = P3m1, No. 156
density of states at the Fermi level = 2.90 states/eV/f.u.

```
NdSnPb
1.0
5.415 0.000 0.000
-2.708 4.690 0.000
0.000 0.000 3.544
Nd Sn Pb
1 1 1
direct
0.000 0.000 0.000 Nd
0.667 0.333 0.503 Sn
0.333 0.667 0.498 Pb
```

---

*b*
Material: NdSnPb
Method: DFT, GGA-PBE
State: optimized geometry

## Properties
symmetry = Pmma, No. 51
density of states at the Fermi level = 2.40 states/eV/f.u.

```
NdSnPb
1.0
6.092 0.000 0.000
0.000 3.596 0.000
0.000 0.000 8.301
Nd Sn Pb
2 2 2
direct
0.250 0.000 0.160 Nd
0.750 0.000 0.840 Nd
0.000 0.000 0.500 Sn
0.500 0.000 0.500 Sn
0.250 0.500 0.804 Pb
0.750 0.500 0.196 Pb
```

---

*c*
Material: NdSnPb
Method: DFT, GGA-PBE
State: optimized geometry

## Properties
symmetry = Cmcm, No. 63
density of states at the Fermi level = 1.80 states/eV/f.u.

```
NdSnPb
1.0
2.329 -8.474 0.000
2.329 8.474 0.000
0.000 0.000 4.469
Nd Sn Pb
2 2 2
direct
0.096 0.904 0.750 Nd
0.904 0.096 0.250 Nd
0.439 0.561 0.750 Sn
0.561 0.439 0.250 Sn
0.253 0.747 0.250 Pb
0.747 0.253 0.750 Pb
```

---

Least stable of them? *b*.

---

*a*
Material: Nd3SnPb2
Method: DFT, GGA-PBE
State: optimized geometry

## Properties
symmetry = C2/c, No. 15
density of states at the Fermi level = 3.76 states/eV/f.u.

```
Nd3SnPb2
1.0
8.273 -3.228 0.000
8.273 3.228 0.000
-1.704 0.000 7.334
Nd Sn Pb
6 2 4
direct
0.007 0.993 0.750 Nd
0.334 0.339 0.418 Nd
0.339 0.334 0.918 Nd
0.661 0.666 0.082 Nd
0.666 0.661 0.582 Nd
0.993 0.007 0.250 Nd
0.492 0.508 0.250 Sn
0.508 0.492 0.750 Sn
0.165 0.171 0.084 Pb
0.171 0.165 0.584 Pb
0.829 0.835 0.416 Pb
0.835 0.829 0.916 Pb
```

---

*b*
Material: Nd3SnPb2
Method: DFT, GGA-PBE
State: optimized geometry

## Properties
symmetry = Pnma, No. 62
density of states at the Fermi level = 5.37 states/eV/f.u.

```
Nd3SnPb2
1.0
13.217 0.000 0.000
0.000 4.691 0.000
0.000 0.000 12.342
Nd Sn Pb
12 4 8
direct
0.050 0.250 0.117 Nd
0.124 0.750 0.562 Nd
0.235 0.250 0.792 Nd
0.265 0.750 0.292 Nd
0.376 0.250 0.062 Nd
0.450 0.750 0.617 Nd
0.550 0.250 0.383 Nd
0.624 0.750 0.938 Nd
0.735 0.250 0.708 Nd
0.765 0.750 0.208 Nd
0.876 0.250 0.438 Nd
0.950 0.750 0.883 Nd
0.122 0.250 0.377 Sn
0.378 0.750 0.877 Sn
0.622 0.250 0.123 Sn
0.878 0.750 0.623 Sn
0.010 0.250 0.712 Pb
0.186 0.750 0.015 Pb
0.314 0.250 0.515 Pb
0.490 0.750 0.212 Pb
0.510 0.250 0.788 Pb
0.686 0.750 0.485 Pb
0.814 0.250 0.985 Pb
0.990 0.750 0.288 Pb
```

---

Least stable of them? *a*.

---

*a*
Material: Nd2Sn4Pb
Method: DFT, GGA-PBE
State: optimized geometry

## Properties
symmetry = C2/m, No. 12
density of states at the Fermi level = 3.97 states/eV/f.u.

```
Nd2Sn4Pb
1.0
4.682 -4.698 0.000
4.682 4.698 0.000
-4.653 0.000 4.812
Nd Sn Pb
2 4 1
direct
0.000 0.500 0.000 Nd
0.500 0.000 0.000 Nd
0.000 0.000 0.500 Sn
0.000 0.500 0.500 Sn
0.500 0.000 0.500 Sn
0.500 0.500 0.500 Sn
0.000 0.000 0.000 Pb
```

---

*b*
Material: Nd2Sn4Pb
Method: DFT, GGA-PBE
State: optimized geometry

## Properties
symmetry = P-4m2, No. 115
density of states at the Fermi level = 4.11 states/eV/f.u.

```
Nd2Sn4Pb
1.0
4.508 0.000 0.000
0.000 4.508 0.000
0.000 0.000 10.328
Nd Sn Pb
2 4 1
direct
0.000 0.500 0.244 Nd
0.500 0.000 0.756 Nd
0.000 0.000 0.000 Sn
0.000 0.500 0.709 Sn
0.500 0.000 0.291 Sn
0.500 0.500 0.000 Sn
0.000 0.000 0.500 Pb
```

---

Least stable of them? *b*.

---

*a*
Material: SrNd2Pb
Method: DFT, GGA-PBE
State: optimized geometry

## Properties
symmetry = P4/mmm, No. 123
density of states at the Fermi level = 3.67 states/eV/f.u.

```
SrNd2Pb
1.0
5.119 0.000 0.000
0.000 5.119 0.000
0.000 0.000 5.113
Sr Nd Pb
1 2 1
direct
0.000 0.000 0.000 Sr
0.000 0.500 0.500 Nd
0.500 0.000 0.500 Nd
0.500 0.500 0.000 Pb
```

---

*b*
Material: SrNd2Pb
Method: DFT, GGA-PBE
State: optimized geometry

## Properties
symmetry = R-3m, No. 166
density of states at the Fermi level = 4.97 states/eV/f.u.

```
SrNd2Pb
1.0
1.853 1.070 12.527
-1.853 1.070 12.527
0.000 -2.140 12.527
Sr Nd Pb
1 2 1
direct
0.000 0.000 0.000 Sr
0.096 0.096 0.096 Nd
0.904 0.904 0.904 Nd
0.500 0.500 0.500 Pb
```

---

Least stable of them? *b*.

---

*a*
Material: SrNdTlPb
Method: DFT, GGA-PBE
State: optimized geometry

## Properties
symmetry = P4mm, No. 99
density of states at the Fermi level = 2.40 states/eV/f.u.

```
SrNdTlPb
1.0
3.773 0.000 0.000
0.000 3.773 0.000
0.000 0.000 8.984
Sr Nd Tl Pb
1 1 1 1
direct
0.000 0.000 0.000 Sr
0.000 0.000 0.507 Nd
0.500 0.500 0.742 Tl
0.500 0.500 0.263 Pb
```

---

*b*
Material: SrNdTlPb
Method: DFT, GGA-PBE
State: optimized geometry

## Properties
symmetry = F-43m, No. 216
density of states at the Fermi level = 2.41 states/eV/f.u.

```
SrNdTlPb
1.0
0.000 4.015 4.015
4.015 0.000 4.015
4.015 4.015 0.000
Sr Nd Tl Pb
1 1 1 1
direct
0.000 0.000 0.000 Sr
0.500 0.500 0.500 Nd
0.750 0.750 0.750 Tl
0.250 0.250 0.250 Pb
```

---

Least stable of them? *b*.

---

*a*
Material: TbNdPb
Method: DFT, GGA-PBE
State: optimized geometry

## Properties
symmetry = P4/nmm, No. 129
density of states at the Fermi level = 3.41 states/eV/f.u.

```
TbNdPb
1.0
4.652 0.000 0.000
0.000 4.652 0.000
0.000 0.000 8.799
Tb Nd Pb
2 2 2
direct
0.250 0.750 0.000 Tb
0.750 0.250 0.000 Tb
0.250 0.250 0.345 Nd
0.750 0.750 0.655 Nd
0.250 0.250 0.722 Pb
0.750 0.750 0.278 Pb
```

---

*b*
Material: TbNdPb
Method: DFT, GGA-PBE
State: optimized geometry

## Properties
symmetry = P3m1, No. 156
density of states at the Fermi level = 2.96 states/eV/f.u.

```
TbNdPb
1.0
5.273 0.000 0.000
-2.637 4.567 0.000
0.000 0.000 3.966
Tb Nd Pb
1 1 1
direct
0.000 0.000 0.000 Tb
0.667 0.333 0.456 Nd
0.333 0.667 0.814 Pb
```

---

*c*
Material: TbNdPb
Method: DFT, GGA-PBE
State: optimized geometry

## Properties
symmetry = I4mm, No. 107
density of states at the Fermi level = 4.31 states/eV/f.u.

```
TbNdPb
1.0
-2.098 2.098 5.081
2.098 -2.098 5.081
2.098 2.098 -5.081
Tb Nd Pb
1 1 1
direct
0.000 0.000 0.000 Tb
0.684 0.684 0.000 Nd
0.347 0.347 0.000 Pb
```

---

Least stable of them? *b*.

---

*a*
Material: TbNd3Pb2
Method: DFT, GGA-PBE
State: optimized geometry

## Properties
symmetry = Cmmm, No. 65
density of states at the Fermi level = 6.72 states/eV/f.u.

```
TbNd3Pb2
1.0
2.500 -8.235 0.000
2.500 8.235 0.000
0.000 0.000 4.518
Tb Nd Pb
1 3 2
direct
0.000 0.000 0.000 Tb
0.177 0.823 0.500 Nd
0.500 0.500 0.500 Nd
0.823 0.177 0.500 Nd
0.351 0.649 0.000 Pb
0.649 0.351 0.000 Pb
```

---

*b*
Material: TbNd3Pb2
Method: DFT, GGA-PBE
State: optimized geometry

## Properties
symmetry = P-4m2, No. 115
density of states at the Fermi level = 6.84 states/eV/f.u.

```
TbNd3Pb2
1.0
4.672 0.000 0.000
0.000 4.672 0.000
0.000 0.000 8.878
Tb Nd Pb
1 3 2
direct
0.000 0.000 0.000 Tb
0.000 0.500 0.347 Nd
0.500 0.000 0.653 Nd
0.500 0.500 0.000 Nd
0.000 0.500 0.719 Pb
0.500 0.000 0.281 Pb
```

---

Least stable of them? *a*.